The following is a PBE-GGA calculation of an optimized crystal structure of Tl5Br3, from Alexandria via LeMat-Bulk.

As for the formation energy without anion corrections: -0.472 eV/atom. Its total energy is -2.58 eV per atom. Its symmetry is P6_3/mcm (193).

Cell lengths 9.718, 9.718, 6.859 Å; angles 90.00, 90.00, 120.00 degrees
Fractional positions:
Tl  0.000  0.210  0.250
Tl  0.000  0.790  0.750
Tl  0.210  0.000  0.250
Tl  0.210  0.210  0.750
Tl  0.333  0.667  0.000
Tl  0.333  0.667  0.500
Tl  0.667  0.333  0.000
Tl  0.667  0.333  0.500
Tl  0.790  0.000  0.750
Tl  0.790  0.790  0.250
Br  0.000  0.389  0.750
Br  0.000  0.611  0.250
Br  0.389  0.000  0.750
Br  0.389  0.389  0.250
Br  0.611  0.000  0.250
Br  0.611  0.611  0.750



The following is a PBE-GGA calculation of an optimized crystal structure of TlBr, from Alexandria via LeMat-Bulk.

As for the formation energy without anion corrections: -0.784 eV/atom. Its total energy is -2.80 eV per atom. Its symmetry is I4/m (87).

Cell lengths 10.258, 10.258, 10.258 Å; angles 93.28, 93.28, 152.33 degrees
Fractional positions:
Tl  0.118  0.726  0.844
Tl  0.274  0.118  0.392
Tl  0.726  0.882  0.608
Tl  0.882  0.274  0.156
Br  0.118  0.291  0.409
Br  0.291  0.882  0.173
Br  0.709  0.118  0.827
Br  0.882  0.709  0.591



no.,total magnetization (μB/f.u.)
1,0.00
2,0.00